one:
An optimized crystal structure of Na3TlP. Source: Alexandria via LeMat-Bulk, functional PBE.

Lattice parameters (Å, degrees): 5.437 5.437 5.437 90.00 90.00 90.00
Fractional positions:
1 Na 0.500 0.000 0.000
2 Na 0.000 0.000 0.500
3 P 0.000 0.000 0.000
4 Tl 0.500 0.500 0.500
5 Na 0.000 0.500 0.000

Volume: 161 Å³ per cell
Total moment: 0.0 μB per cell


two:
An optimized crystal structure of Na3TlP. Source: Alexandria via LeMat-Bulk, functional PBE.

Lattice parameters (Å, degrees): 5.604 5.604 5.604 90.00 90.00 90.00
Fractional positions:
1 Na 0.500 0.000 0.000
2 Na 0.000 0.500 0.000
3 P 0.500 0.500 0.500
4 Tl 0.000 0.000 0.000
5 Na 0.000 0.000 0.500

Volume: 176 Å³ per cell
Total moment: 0.0 μB per cell


Tell me which of them is the most stable. Sure, it is one.


one:
An optimized crystal structure of NaTl2P2. Source: Alexandria via LeMat-Bulk, functional PBE.

Lattice parameters (Å, degrees): 4.712 4.712 6.967 70.24 70.24 90.00
Fractional positions:
1 P 0.586 0.586 0.827
2 Na 0.000 0.000 0.000
3 Tl 0.750 0.250 0.500
4 P 0.414 0.414 0.173
5 Tl 0.250 0.750 0.500

Volume: 136 Å³ per cell
Total moment: 0.0 μB per cell


two:
An optimized crystal structure of NaTl2P2. Source: Alexandria via LeMat-Bulk, functional PBE.

Lattice parameters (Å, degrees): 7.294 7.294 4.917 90.00 90.00 90.00
Fractional positions:
1 Na 0.500 0.500 0.000
2 P 0.397 0.897 0.000
3 Tl 0.678 0.822 0.500
4 P 0.897 0.603 0.000
5 Tl 0.822 0.322 0.500
6 P 0.103 0.397 0.000
7 Na 0.000 0.000 0.000
8 Tl 0.322 0.178 0.500
9 Tl 0.178 0.678 0.500
10 P 0.603 0.103 0.000

Volume: 262 Å³ per cell
Total moment: 0.0 μB per cell


Tell me which of them is the most stable. Sure, it is two.


one:
An optimized crystal structure of NaTl3P. Source: Alexandria via LeMat-Bulk, functional PBE.

Lattice parameters (Å, degrees): 5.501 5.501 5.501 90.00 90.00 90.00
Fractional positions:
1 Tl 0.000 0.500 0.000
2 Tl 0.000 0.000 0.500
3 Tl 0.500 0.000 0.000
4 Na 0.000 0.000 0.000
5 P 0.500 0.500 0.500

Volume: 166 Å³ per cell
Total moment: 0.2 μB per cell


two:
An optimized crystal structure of NaTl3P. Source: Alexandria via LeMat-Bulk, functional PBE.

Lattice parameters (Å, degrees): 5.504 5.504 5.504 90.00 90.00 90.00
Fractional positions:
1 Tl 0.000 0.000 0.500
2 P 0.000 0.000 0.000
3 Tl 0.500 0.000 0.000
4 Tl 0.000 0.500 0.000
5 Na 0.500 0.500 0.500

Volume: 167 Å³ per cell
Total moment: 0.0 μB per cell


Tell me which of them is the most stable. Sure, it is two.


one:
An optimized crystal structure of NaTlP2. Source: Alexandria via LeMat-Bulk, functional PBE.

Lattice parameters (Å, degrees): 4.927 4.927 4.927 60.00 60.00 60.00
Fractional positions:
1 Tl 0.500 0.500 0.500
2 P 0.750 0.750 0.750
3 P 0.250 0.250 0.250
4 Na 0.000 0.000 0.000

Volume: 85 Å³ per cell
Total moment: 0.0 μB per cell


two:
An optimized crystal structure of NaTlP2. Source: Alexandria via LeMat-Bulk, functional PBE.

Lattice parameters (Å, degrees): 7.771 7.771 6.220 51.34 51.34 90.00
Fractional positions:
1 P 0.094 0.625 0.250
2 P 0.875 0.906 0.750
3 Na 0.250 0.750 0.500
4 P 0.375 0.344 0.750
5 Tl 0.750 0.250 0.500
6 P 0.656 0.125 0.250
7 Na 0.500 0.500 0.000
8 Tl 0.000 0.000 0.000

Volume: 176 Å³ per cell
Total moment: 0.0 μB per cell


Tell me which of them is the most stable. Sure, it is two.


one:
An optimized crystal structure of NaUP2. Source: Alexandria via LeMat-Bulk, functional PBE.

Lattice parameters (Å, degrees): 4.078 4.078 6.980 73.02 73.02 60.00
Fractional positions:
1 P 0.265 0.265 0.205
2 Na 0.500 0.500 0.500
3 U 0.000 0.000 0.000
4 P 0.735 0.735 0.795

Volume: 95 Å³ per cell
Total moment: 1.0 μB per cell


two:
An optimized crystal structure of NaUP2. Source: Alexandria via LeMat-Bulk, functional PBE.

Lattice parameters (Å, degrees): 4.038 4.038 7.238 73.80 73.80 60.00
Fractional positions:
1 P 0.267 0.267 0.199
2 U 0.669 0.669 0.994
3 Na 0.495 0.495 0.515
4 P 0.069 0.069 0.792

Volume: 97 Å³ per cell
Total moment: 1.0 μB per cell


Tell me which of them is the most stable. Sure, it is one.


one:
An optimized crystal structure of NaV3P. Source: Alexandria via LeMat-Bulk, functional PBE.

Lattice parameters (Å, degrees): 4.477 4.477 4.477 90.00 90.00 90.00
Fractional positions:
1 P 0.000 0.000 0.000
2 V 0.500 0.000 0.000
3 V 0.000 0.000 0.500
4 V 0.000 0.500 0.000
5 Na 0.500 0.500 0.500

Volume: 90 Å³ per cell
Total moment: 2.7 μB per cell


two:
An optimized crystal structure of NaV3P. Source: Alexandria via LeMat-Bulk, functional PBE.

Lattice parameters (Å, degrees): 4.359 4.359 4.359 90.00 90.00 90.00
Fractional positions:
1 Na 0.000 0.000 0.000
2 V 0.000 0.500 0.000
3 V 0.000 0.000 0.500
4 P 0.500 0.500 0.500
5 V 0.500 0.000 0.000

Volume: 83 Å³ per cell
Total moment: 0.0 μB per cell


Tell me which of them is the most stable. Sure, it is one.


one:
An optimized crystal structure of NaVP3. Source: Alexandria via LeMat-Bulk, functional PBE.

Lattice parameters (Å, degrees): 4.598 4.598 4.598 90.00 90.00 90.00
Fractional positions:
1 P 0.000 0.500 0.000
2 V 0.000 0.000 0.000
3 P 0.000 0.000 0.500
4 P 0.500 0.000 0.000
5 Na 0.500 0.500 0.500

Volume: 97 Å³ per cell
Total moment: 0.0 μB per cell


two:
An optimized crystal structure of NaVP3. Source: Alexandria via LeMat-Bulk, functional PBE.

Lattice parameters (Å, degrees): 4.720 4.720 4.720 90.00 90.00 90.00
Fractional positions:
1 Na 0.000 0.000 0.000
2 P 0.000 0.500 0.000
3 P 0.000 0.000 0.500
4 P 0.500 0.000 0.000
5 V 0.500 0.500 0.500

Volume: 105 Å³ per cell
Total moment: 2.8 μB per cell


Tell me which of them is the most stable. Sure, it is one.


one:
An optimized crystal structure of NaP2W. Source: Alexandria via LeMat-Bulk, functional PBE.

Lattice parameters (Å, degrees): 4.434 4.434 4.434 60.00 60.00 60.00
Fractional positions:
1 P 0.750 0.750 0.750
2 Na 0.000 0.000 0.000
3 P 0.250 0.250 0.250
4 W 0.500 0.500 0.500

Volume: 62 Å³ per cell
Total moment: 1.5 μB per cell


two:
An optimized crystal structure of NaP2W. Source: Alexandria via LeMat-Bulk, functional PBE.

Lattice parameters (Å, degrees): 3.091 3.091 7.016 90.00 90.00 90.00
Fractional positions:
1 W 0.500 0.500 0.000
2 P 0.000 0.000 0.805
3 P 0.000 0.000 0.195
4 Na 0.500 0.500 0.500

Volume: 67 Å³ per cell
Total moment: 0.0 μB per cell


Tell me which of them is the most stable. Sure, it is two.